MoPtF3 | Alexandria | PBE with a Hubbard U | optimized geometry; space group = No. 221; DFT total energy = -4.761 eV/atom; density of states at the Fermi level = 3.80 states/eV/cell; crystal system = cubic
1.0
4.252 0.000 0.000
0.000 4.252 0.000
0.000 0.000 4.252
Mo Pt F
1 1 3
Cartesian
0.000 0.000 0.000
2.126 2.126 2.126
0.000 0.000 2.126
0.000 2.126 0.000
2.126 0.000 0.000